Below is Rb2CdInAu2 after structural relaxation, with properties calculated at the PBE level.

Cell: 6.963 6.931 9.605 Å, 111.15 111.25 90.00°
Sites, in units of the cell vectors:
Rb  0.323  0.081  0.646
Rb  0.823  0.565  0.646
Rb  0.177  0.435  0.354
Rb  0.677  0.919  0.354
Au  0.908  0.150  0.815
Au  0.408  0.665  0.815
Au  0.592  0.335  0.185
Au  0.092  0.850  0.185
In  0.750  0.000  0.000
In  0.250  0.000  0.000
Cd  0.750  0.500  0.000
Cd  0.250  0.500  0.000

Output
The value obtained for the formation enthalpy at 0 K is -0.248 eV per atom.

***

Below is GdZn4Ni after structural relaxation, with properties calculated at the PBE level.

Cell: 5.188 5.188 5.188 Å, 60.00 60.00 60.00°
Each line ends with the local moment (μB).
Sites, in units of the cell vectors:
Zn  0.624  0.624  0.128  0.01
Zn  0.128  0.624  0.624  0.01
Zn  0.624  0.624  0.624  0.01
Zn  0.624  0.128  0.624  0.01
Ni  0.250  0.250  0.250  0.05
Gd  0.000  0.000  0.000  7.04

Output
The value obtained for the formation enthalpy at 0 K is -0.171 eV per atom.

***

Below is ScIn5I8 after structural relaxation, with properties calculated at the PBE level.

Cell: 9.849 9.849 9.849 Å, 104.47 104.47 120.01°
Sites, in units of the cell vectors:
I  0.179  0.846  0.268
I  0.089  0.821  0.667
I  0.114  0.415  0.795
I  0.154  0.422  0.333
I  0.578  0.911  0.732
I  0.619  0.318  0.205
I  0.585  0.381  0.699
I  0.682  0.886  0.301
In  0.112  0.148  0.519
In  0.407  0.888  0.036
In  0.852  0.371  0.964
In  0.629  0.593  0.481
In  0.500  0.500  0.000
Sc  0.250  0.750  0.500

Output
The uncorrected formation energy is -0.604 eV per atom.

***

The magnetization results, record by record, are as follows: 0.00, 1.21, 0.00 μB/atom.
The uncorrected energy results, record by record, are as follows: -27.3, -26.0, -40.9 eV per cell.
The ρ results, record by record, are as follows: 6.60, 8.03, 3.79 g cm⁻³.